(1)
This record from Alexandria describes a geometry-optimized Na2SiH12O9 structure. The functional is PBE.

abc: 5.952 6.347 11.473
angles: 78.22 90.00 90.00
Sites, in units of the cell vectors:
O: 0.640 0.743 0.726
O: 0.990 0.666 0.265
O: 0.975 0.054 0.104
O: 0.130 0.560 0.649
O: 0.475 0.946 0.896
O: 0.490 0.334 0.735
O: 0.361 0.047 0.586
O: 0.051 0.943 0.814
O: 0.630 0.440 0.351
O: 0.140 0.257 0.274
O: 0.825 0.685 0.047
O: 0.775 0.258 0.913
O: 0.861 0.953 0.414
O: 0.551 0.057 0.186
O: 0.823 0.300 0.582
O: 0.323 0.700 0.418
O: 0.275 0.742 0.087
O: 0.325 0.315 0.953
H: 0.577 0.596 0.730
H: 0.259 0.652 0.498
H: 0.840 0.176 0.992
H: 0.466 0.945 0.156
H: 0.518 0.539 0.378
H: 0.227 0.211 0.006
H: 0.697 0.313 0.639
H: 0.262 0.468 0.682
H: 0.889 0.842 0.366
H: 0.211 0.955 0.840
H: 0.576 0.803 0.794
H: 0.197 0.687 0.361
H: 0.076 0.197 0.206
H: 0.727 0.789 0.994
H: 0.340 0.824 0.008
H: 0.762 0.532 0.318
H: 0.759 0.348 0.501
H: 0.389 0.158 0.634
H: 0.077 0.404 0.270
H: 0.966 0.055 0.844
H: 0.455 0.926 0.627
H: 0.711 0.045 0.160
H: 0.955 0.074 0.373
H: 0.018 0.461 0.622
Si: 0.014 0.794 0.128
Si: 0.514 0.206 0.872
Na: 0.494 0.432 0.140
Na: 0.994 0.568 0.860
Na: 0.970 0.931 0.614
Na: 0.470 0.069 0.386

Properties
As for the density of states at the Fermi level: 0.000 states/eV/atom. The total energy comes out at -5.253 eV per atom. The value obtained for the spin magnetization is 0.00 μB per atom.

---

(2)
This record from Alexandria describes a geometry-optimized Na2SiH5O structure. The functional is PBE.

abc: 5.710 5.710 5.710
angles: 65.57 134.98 134.98
Sites, in units of the cell vectors:
O: 0.000 0.815 0.815
H: 0.517 0.272 0.272
H: 0.000 0.173 0.173
H: 0.483 0.755 0.755
H: 0.000 0.755 0.272
H: 0.000 0.272 0.755
Na: 0.500 0.734 0.234
Na: 0.500 0.234 0.734
Si: 0.000 0.990 0.990

Properties
As for the density of states at the Fermi level: 0.324 states/eV/atom. The total energy comes out at -3.642 eV per atom. The value obtained for the spin magnetization is 0.00 μB per atom.

---

(3)
This record from Alexandria describes a geometry-optimized Na3SiH3O5 structure. The functional is PBE.

abc: 6.013 7.927 11.309
angles: 74.80 90.00 90.00
Sites, in units of the cell vectors:
H: 0.027 0.159 0.216
H: 0.527 0.841 0.284
H: 0.973 0.841 0.784
H: 0.473 0.159 0.716
H: 0.092 0.427 0.170
H: 0.883 0.014 0.826
H: 0.617 0.014 0.326
H: 0.117 0.986 0.174
H: 0.408 0.427 0.670
H: 0.908 0.573 0.830
H: 0.592 0.573 0.330
H: 0.383 0.986 0.674
Na: 0.486 0.248 0.167
Na: 0.757 0.979 0.561
Na: 0.808 0.600 0.067
Na: 0.243 0.021 0.439
Na: 0.308 0.400 0.433
Na: 0.514 0.752 0.833
Na: 0.986 0.752 0.333
Na: 0.014 0.248 0.667
Na: 0.743 0.979 0.061
Na: 0.192 0.400 0.933
Na: 0.257 0.021 0.939
Na: 0.692 0.600 0.567
O: 0.133 0.664 0.780
O: 0.434 0.813 0.611
O: 0.776 0.511 0.882
O: 0.633 0.336 0.720
O: 0.367 0.664 0.280
O: 0.513 0.233 0.964
O: 0.276 0.489 0.618
O: 0.013 0.767 0.536
O: 0.651 0.929 0.277
O: 0.066 0.813 0.111
O: 0.987 0.233 0.464
O: 0.849 0.929 0.777
O: 0.151 0.071 0.223
O: 0.724 0.511 0.382
O: 0.867 0.336 0.220
O: 0.566 0.187 0.389
O: 0.934 0.187 0.889
O: 0.349 0.071 0.723
O: 0.224 0.489 0.118
O: 0.487 0.767 0.036
Si: 0.292 0.691 0.136
Si: 0.708 0.309 0.864
Si: 0.792 0.309 0.364
Si: 0.208 0.691 0.636

Properties
As for the density of states at the Fermi level: 0.000 states/eV/atom. The total energy comes out at -5.472 eV per atom. The value obtained for the spin magnetization is 0.00 μB per atom.

---

(4)
This record from Alexandria describes a geometry-optimized NaSiH2O structure. The functional is PBE.

abc: 3.672 4.339 3.672
angles: 90.00 90.00 90.00
Sites, in units of the cell vectors:
O: 0.000 0.000 0.000
Si: 0.500 0.500 0.500
H: 0.000 0.000 0.500
H: 0.500 0.000 0.000
Na: 0.000 0.500 0.000

Properties
As for the density of states at the Fermi level: 0.439 states/eV/atom. The total energy comes out at -2.792 eV per atom. The value obtained for the spin magnetization is 0.00 μB per atom.